No. 1
Compound: LiTc5
Source: the Alexandria database
Functional: PBEsol
Structure: relaxed

abc: 4.3131 7.1474 7.1474
angles: 21.80 90.00 90.00
Closest atoms and distances in Å follow each position.
Positions (direct):
1 Li 0.0000 0.0000 0.0000  10 Tc 2.64-2.74, 2 Li 2.70
2 Tc 0.0000 0.3300 0.3300  10 Tc 2.62-2.70, 2 Li 2.74
3 Tc 0.0000 0.6652 0.6652  10 Tc 2.65-2.70, 2 Li 2.68
4 Tc 0.5000 0.2245 0.2245  12 Tc 2.62-2.73
5 Tc 0.5000 0.5554 0.5554  8 Tc 2.65-2.73, 4 Li 2.66
6 Tc 0.5000 0.8916 0.8916  2 Li 2.64, 10 Tc 2.67-2.71

Results
The value obtained for the raw total energy is -57.3 eV/cell. For the volume, the calculation gives 81.8 Å³/cell. Its calculated density is 10.086 g/cm³. The calculation puts the calculated formation energy at 1.00 eV/f.u. Its space-group type is Amm2 (38).

No. 2
Compound: Li5Tc
Source: the Alexandria database
Functional: PBEsol
Structure: relaxed

abc: 4.8245 4.8245 4.5683
angles: 90.00 90.00 120.00
Closest atoms and distances in Å follow each position.
Positions (direct):
1 Li 0.0000 0.3245 0.0000  10 Li 2.71-2.82, 2 Tc 2.77
2 Li 0.3245 0.0000 0.0000  10 Li 2.71-2.82, 2 Tc 2.77
3 Li 0.3333 0.6667 0.5000  3 Tc 2.79, 9 Li 2.79-2.81
4 Li 0.6667 0.3333 0.5000  3 Tc 2.79, 9 Li 2.79-2.81
5 Li 0.6755 0.6755 0.0000  10 Li 2.71-2.82, 2 Tc 2.77
6 Tc 0.0000 0.0000 0.5000  12 Li 2.77-2.79

Results
The value obtained for the raw total energy is -18.2 eV/cell. The value obtained for the energy above the most stable polymorph in this dataset is 1.21 eV per formula unit. For the volume, the calculation gives 92.1 Å³/cell. Its calculated density is 2.393 g/cm³. The calculation puts the calculated formation energy at 2.90 eV/f.u. Its space-group type is P-62m (189).

No. 3
Compound: Li5Tc
Source: the Alexandria database
Functional: PBEsol
Structure: relaxed

abc: 4.8286 4.8286 4.4614
angles: 90.00 90.00 120.00
Closest atoms and distances in Å follow each position.
Positions (direct):
1 Li 0.0000 0.5000 0.0000  8 Li 2.41-2.63
2 Li 0.3333 0.6667 0.5000  9 Li 2.63-2.79, 3 Tc 2.79
3 Li 0.5000 0.0000 0.0000  8 Li 2.41-2.63
4 Li 0.5000 0.5000 0.0000  8 Li 2.41-2.63
5 Li 0.6667 0.3333 0.5000  9 Li 2.63-2.79, 3 Tc 2.79
6 Tc 0.0000 0.0000 0.5000  6 Li 2.79

Results
The value obtained for the raw total energy is -17.0 eV/cell. The value obtained for the energy above the most stable polymorph in this dataset is 2.38 eV per formula unit. For the volume, the calculation gives 90.1 Å³/cell. Its calculated density is 2.446 g/cm³. The calculation puts the calculated formation energy at 4.07 eV/f.u. Its space-group type is P6/mmm (191).

No. 4
Compound: Li2Tc
Source: the Alexandria database
Functional: PBEsol
Structure: relaxed

abc: 4.3013 4.3013 4.3013
angles: 60.00 60.00 60.00
Closest atoms and distances in Å follow each position.
Positions (direct):
1 Li 0.2500 0.2500 0.2500  4 Tc 2.63
2 Li 0.7500 0.7500 0.7500  4 Tc 2.63
3 Tc 0.0000 0.0000 0.0000  8 Li 2.63

Results
The value obtained for the raw total energy is -10.6 eV/cell. For the volume, the calculation gives 56.3 Å³/cell. Its calculated density is 3.302 g/cm³. The calculation puts the calculated formation energy at 4.56 eV/f.u. Its space-group type is Fm-3m (225).

- Number 4 is which compound?
  Li2Tc